# 1
# La3SbPb PBE relaxed
data_La3SbPb
_chemical_formula_sum 'La6 Sb2 Pb2'
_cell_length_a 8.965
_cell_length_b 4.585
_cell_length_c 10.292
_cell_angle_alpha 90.00
_cell_angle_beta 115.45
_cell_angle_gamma 90.00
_symmetry_space_group_name_H-M 'P 1'
_symmetry_Int_Tables_number 1
loop_
_symmetry_equiv_pos_as_xyz
'x,y,z'
loop_
_atom_site_label
_atom_site_fract_x
_atom_site_fract_y
_atom_site_fract_z
La1 0.181 0.250 0.007
La2 0.192 0.250 0.629
La3 0.302 0.750 0.354
La4 0.698 0.250 0.646
La5 0.808 0.750 0.371
La6 0.819 0.750 0.993
Sb1 0.474 0.750 0.706
Sb2 0.526 0.250 0.294
Pb1 0.002 0.750 0.751
Pb2 0.998 0.250 0.249
# SG	P2_1/m, No. 11
# raw formation energy	-681	meV/atom
# energy above the most stable polymorph in this dataset	0.0	meV per atom
# mass density	6.48	Mg/m³

***

# 2
# PuPaMoPd PBE relaxed
data_PuPaMoPd
_chemical_formula_sum 'Pu4 Pa4 Mo4 Pd4'
_cell_length_a 6.930
_cell_length_b 6.930
_cell_length_c 6.930
_cell_angle_alpha 90.00
_cell_angle_beta 90.00
_cell_angle_gamma 90.00
_symmetry_space_group_name_H-M 'P 1'
_symmetry_Int_Tables_number 1
loop_
_symmetry_equiv_pos_as_xyz
'x,y,z'
loop_
_atom_site_label
_atom_site_fract_x
_atom_site_fract_y
_atom_site_fract_z
Pu1 0.000 0.000 0.000
Pu2 0.000 0.500 0.500
Pu3 0.500 0.000 0.500
Pu4 0.500 0.500 0.000
Pa1 0.000 0.000 0.500
Pa2 0.000 0.500 0.000
Pa3 0.500 0.000 0.000
Pa4 0.500 0.500 0.500
Mo1 0.250 0.250 0.250
Mo2 0.250 0.750 0.750
Mo3 0.750 0.250 0.750
Mo4 0.750 0.750 0.250
Pd1 0.250 0.250 0.750
Pd2 0.250 0.750 0.250
Pd3 0.750 0.250 0.250
Pd4 0.750 0.750 0.750
# SG	F-43m, No. 216
# energy relative to the elements	-21	meV/atom
# mass density	13.52	Mg/m³

***

# 3
# LaReAu2 PBE relaxed
data_LaReAu2
_chemical_formula_sum 'La1 Re1 Au2'
_cell_length_a 4.348
_cell_length_b 4.348
_cell_length_c 4.316
_cell_angle_alpha 90.00
_cell_angle_beta 90.00
_cell_angle_gamma 90.00
_symmetry_space_group_name_H-M 'P 1'
_symmetry_Int_Tables_number 1
loop_
_symmetry_equiv_pos_as_xyz
'x,y,z'
loop_
_atom_site_label
_atom_site_fract_x
_atom_site_fract_y
_atom_site_fract_z
La1 0.000 0.000 0.000
Re1 0.500 0.500 0.000
Au1 0.000 0.500 0.500
Au2 0.500 0.000 0.500
# SG	P4/mmm, No. 123
# energy above the most stable polymorph in this dataset	0.0	meV per atom
# energy relative to the elements	161	meV/atom
# mass density	14.63	Mg/m³

***

# 4
# Ta3ReBr PBE relaxed
data_Ta3ReBr
_chemical_formula_sum 'Ta3 Re1 Br1'
_cell_length_a 4.629
_cell_length_b 4.629
_cell_length_c 4.629
_cell_angle_alpha 90.00
_cell_angle_beta 90.00
_cell_angle_gamma 90.00
_symmetry_space_group_name_H-M 'P 1'
_symmetry_Int_Tables_number 1
loop_
_symmetry_equiv_pos_as_xyz
'x,y,z'
loop_
_atom_site_label
_atom_site_fract_x
_atom_site_fract_y
_atom_site_fract_z
Ta1 0.000 0.000 0.500
Ta2 0.000 0.500 0.000
Ta3 0.500 0.000 0.000
Re1 0.500 0.500 0.500
Br1 0.000 0.000 0.000
# SG	Pm-3m, No. 221
# raw formation energy	1789	meV/atom
# energy above the most stable polymorph in this dataset	356.9	meV per atom
# mass density	13.54	Mg/m³

***

# 5
# Mn2Pt PBE relaxed
data_Mn2Pt
_chemical_formula_sum 'Mn8 Pt4'
_cell_length_a 8.151
_cell_length_b 4.836
_cell_length_c 4.593
_cell_angle_alpha 90.00
_cell_angle_beta 90.00
_cell_angle_gamma 90.00
_symmetry_space_group_name_H-M 'P 1'
_symmetry_Int_Tables_number 1
loop_
_symmetry_equiv_pos_as_xyz
'x,y,z'
loop_
_atom_site_label
_atom_site_fract_x
_atom_site_fract_y
_atom_site_fract_z
Mn1 0.163 0.179 0.250
Mn2 0.163 0.821 0.750
Mn3 0.337 0.321 0.750
Mn4 0.337 0.679 0.250
Mn5 0.663 0.321 0.750
Mn6 0.663 0.679 0.250
Mn7 0.837 0.179 0.250
Mn8 0.837 0.821 0.750
Pt1 0.000 0.318 0.750
Pt2 0.000 0.682 0.250
Pt3 0.500 0.182 0.250
Pt4 0.500 0.818 0.750
# SG	Cmcm, No. 63
# energy relative to the elements	-30	meV/atom
# mass density	11.19	Mg/m³

***

# 6
# LiTbErTc PBE relaxed
data_LiTbErTc
_chemical_formula_sum 'Li4 Tb4 Er4 Tc4'
_cell_length_a 6.957
_cell_length_b 6.957
_cell_length_c 6.957
_cell_angle_alpha 90.00
_cell_angle_beta 90.00
_cell_angle_gamma 90.00
_symmetry_space_group_name_H-M 'P 1'
_symmetry_Int_Tables_number 1
loop_
_symmetry_equiv_pos_as_xyz
'x,y,z'
loop_
_atom_site_label
_atom_site_fract_x
_atom_site_fract_y
_atom_site_fract_z
Li1 0.000 0.000 0.000
Li2 0.000 0.500 0.500
Li3 0.500 0.000 0.500
Li4 0.500 0.500 0.000
Tb1 0.250 0.250 0.750
Tb2 0.250 0.750 0.250
Tb3 0.750 0.250 0.250
Tb4 0.750 0.750 0.750
Er1 0.250 0.250 0.250
Er2 0.250 0.750 0.750
Er3 0.750 0.250 0.750
Er4 0.750 0.750 0.250
Tc1 0.000 0.000 0.500
Tc2 0.000 0.500 0.000
Tc3 0.500 0.000 0.000
Tc4 0.500 0.500 0.500
# SG	F-43m, No. 216
# energy relative to the elements	-40	meV/atom
# mass density	8.50	Mg/m³

***

# 7
# CoP2OsCl PBE relaxed
data_CoP2OsCl
_chemical_formula_sum 'Co1 P2 Os1 Cl1'
_cell_length_a 4.503
_cell_length_b 4.503
_cell_length_c 5.122
_cell_angle_alpha 90.00
_cell_angle_beta 90.00
_cell_angle_gamma 90.00
_symmetry_space_group_name_H-M 'P 1'
_symmetry_Int_Tables_number 1
loop_
_symmetry_equiv_pos_as_xyz
'x,y,z'
loop_
_atom_site_label
_atom_site_fract_x
_atom_site_fract_y
_atom_site_fract_z
Co1 0.000 0.000 0.000
P1 0.000 0.500 0.500
P2 0.500 0.000 0.500
Os1 0.500 0.500 0.500
Cl1 0.500 0.500 0.000
# SG	P4/mmm, No. 123
# raw formation energy	950	meV/atom
# energy above the most stable polymorph in this dataset	0.0	meV per atom
# mass density	5.54	Mg/m³

***

# 8
# La2PrReN4 PBE relaxed
data_La2PrReN4
_chemical_formula_sum 'La4 Pr2 Re2 N8'
_cell_length_a 6.382
_cell_length_b 6.382
_cell_length_c 12.381
_cell_angle_alpha 90.00
_cell_angle_beta 90.00
_cell_angle_gamma 147.49
_symmetry_space_group_name_H-M 'P 1'
_symmetry_Int_Tables_number 1
loop_
_symmetry_equiv_pos_as_xyz
'x,y,z'
loop_
_atom_site_label
_atom_site_fract_x
_atom_site_fract_y
_atom_site_fract_z
La1 0.132 0.868 0.540
La2 0.132 0.868 0.960
La3 0.868 0.132 0.040
La4 0.868 0.132 0.460
Pr1 0.381 0.619 0.750
Pr2 0.619 0.381 0.250
Re1 0.348 0.652 0.250
Re2 0.652 0.348 0.750
N1 0.079 0.921 0.750
N2 0.229 0.771 0.140
N3 0.229 0.771 0.360
N4 0.500 0.500 0.000
N5 0.500 0.500 0.500
N6 0.771 0.229 0.640
N7 0.771 0.229 0.860
N8 0.921 0.079 0.250
# SG	Cmcm, No. 63
# raw formation energy	-854	meV/atom
# mass density	8.10	Mg/m³

***

# 9
# LiHo3Cd2 PBE relaxed
data_LiHo3Cd2
_chemical_formula_sum 'Li1 Ho3 Cd2'
_cell_length_a 3.734
_cell_length_b 3.734
_cell_length_c 11.070
_cell_angle_alpha 90.00
_cell_angle_beta 90.00
_cell_angle_gamma 90.00
_symmetry_space_group_name_H-M 'P 1'
_symmetry_Int_Tables_number 1
loop_
_symmetry_equiv_pos_as_xyz
'x,y,z'
loop_
_atom_site_label
_atom_site_fract_x
_atom_site_fract_y
_atom_site_fract_z
Li1 0.000 0.000 0.000
Ho1 0.500 0.500 0.167
Ho2 0.500 0.500 0.500
Ho3 0.500 0.500 0.833
Cd1 0.000 0.000 0.331
Cd2 0.000 0.000 0.669
# SG	P4/mmm, No. 123
# energy above the most stable polymorph in this dataset	13.0	meV per atom
# energy relative to the elements	-166	meV/atom
# mass density	7.82	Mg/m³

***

# 10
# LaTiSeO PBE relaxed
data_LaTiSeO
_chemical_formula_sum 'La2 Ti2 Se2 O2'
_cell_length_a 8.054
_cell_length_b 3.373
_cell_length_c 6.024
_cell_angle_alpha 90.00
_cell_angle_beta 115.72
_cell_angle_gamma 90.00
_symmetry_space_group_name_H-M 'P 1'
_symmetry_Int_Tables_number 1
loop_
_symmetry_equiv_pos_as_xyz
'x,y,z'
loop_
_atom_site_label
_atom_site_fract_x
_atom_site_fract_y
_atom_site_fract_z
La1 0.000 0.000 0.000
La2 0.500 0.500 0.000
Ti1 0.400 0.000 0.415
Ti2 0.900 0.500 0.415
Se1 0.173 0.000 0.615
Se2 0.673 0.500 0.615
O1 0.275 0.500 0.205
O2 0.775 0.000 0.205
# SG	Cm, No. 8
# raw formation energy	-1836	meV/atom
# energy above the most stable polymorph in this dataset	156.2	meV per atom
# mass density	6.35	Mg/m³